# 1
# LaOsAu | Alexandria via LeMat-Bulk | GGA-PBE | relaxed
data_LaOsAu
_chemical_formula_sum 'La1 Os1 Au1'
_symmetry_space_group_name_H-M 'P 1'
_symmetry_Int_Tables_number 1
_cell_length_a 4.7997
_cell_length_b 4.7997
_cell_length_c 4.7997
_cell_angle_alpha 60.00
_cell_angle_beta 60.00
_cell_angle_gamma 60.00
loop_
_symmetry_equiv_pos_as_xyz
'x,y,z'
loop_
_atom_site_label
_atom_site_fract_x
_atom_site_fract_y
_atom_site_fract_z
La1 0.0000 0.0000 0.0000
Os1 0.2500 0.2500 0.2500
Au1 0.7500 0.7500 0.7500
# Distance to the lowest polymorph of the same formula (meV/atom): 889
# SG: F-43m
# Fermi-level density of states (states/eV/f.u.): 5.64
# Energy of formation from the pure elements (kcal/mol of atoms): 19.76


# 2
# LaOs2Au | Alexandria via LeMat-Bulk | GGA-PBE | relaxed
data_LaOs2Au
_chemical_formula_sum 'La1 Os2 Au1'
_symmetry_space_group_name_H-M 'P 1'
_symmetry_Int_Tables_number 1
_cell_length_a 5.9378
_cell_length_b 5.9378
_cell_length_c 5.9378
_cell_angle_alpha 150.49
_cell_angle_beta 130.87
_cell_angle_gamma 58.35
loop_
_symmetry_equiv_pos_as_xyz
'x,y,z'
loop_
_atom_site_label
_atom_site_fract_x
_atom_site_fract_y
_atom_site_fract_z
La1 0.0000 0.0000 0.0000
Os1 0.5204 0.5204 0.0000
Os2 0.7223 0.2223 0.5000
Au1 0.2829 0.7829 0.5000
# Distance to the lowest polymorph of the same formula (meV/atom): 500
# SG: Imm2
# Fermi-level density of states (states/eV/f.u.): 4.91
# Energy of formation from the pure elements (kcal/mol of atoms): 10.53


# 3
# LaOsAu | Alexandria via LeMat-Bulk | GGA-PBE | relaxed
data_LaOsAu
_chemical_formula_sum 'La1 Os1 Au1'
_symmetry_space_group_name_H-M 'P 1'
_symmetry_Int_Tables_number 1
_cell_length_a 4.6830
_cell_length_b 4.6830
_cell_length_c 4.6830
_cell_angle_alpha 60.00
_cell_angle_beta 60.00
_cell_angle_gamma 60.00
loop_
_symmetry_equiv_pos_as_xyz
'x,y,z'
loop_
_atom_site_label
_atom_site_fract_x
_atom_site_fract_y
_atom_site_fract_z
La1 0.0000 0.0000 0.0000
Os1 0.2500 0.2500 0.2500
Au1 0.5000 0.5000 0.5000
# Distance to the lowest polymorph of the same formula (meV/atom): 340
# SG: F-43m
# Fermi-level density of states (states/eV/f.u.): 4.74
# Energy of formation from the pure elements (kcal/mol of atoms): 7.10


# 4
# La4OsAu | Alexandria via LeMat-Bulk | GGA-PBE | relaxed
data_La4OsAu
_chemical_formula_sum 'La4 Os1 Au1'
_symmetry_space_group_name_H-M 'P 1'
_symmetry_Int_Tables_number 1
_cell_length_a 6.1221
_cell_length_b 6.1221
_cell_length_c 6.1221
_cell_angle_alpha 60.00
_cell_angle_beta 60.00
_cell_angle_gamma 60.00
loop_
_symmetry_equiv_pos_as_xyz
'x,y,z'
loop_
_atom_site_label
_atom_site_fract_x
_atom_site_fract_y
_atom_site_fract_z
La1 0.1240 0.1240 0.1240
La2 0.1240 0.1240 0.6281
La3 0.1240 0.6281 0.1240
La4 0.6281 0.1240 0.1240
Os1 0.7500 0.7500 0.7500
Au1 0.5000 0.5000 0.5000
# Distance to the lowest polymorph of the same formula (meV/atom): 1095
# SG: F-43m
# Fermi-level density of states (states/eV/f.u.): 8.40
# Energy of formation from the pure elements (kcal/mol of atoms): 16.47


# 5
# La2OsAu4 | Alexandria via LeMat-Bulk | GGA-PBE | relaxed
data_La2OsAu4
_chemical_formula_sum 'La2 Os1 Au4'
_symmetry_space_group_name_H-M 'P 1'
_symmetry_Int_Tables_number 1
_cell_length_a 8.3182
_cell_length_b 8.3182
_cell_length_c 8.3182
_cell_angle_alpha 144.37
_cell_angle_beta 144.37
_cell_angle_gamma 51.27
loop_
_symmetry_equiv_pos_as_xyz
'x,y,z'
loop_
_atom_site_label
_atom_site_fract_x
_atom_site_fract_y
_atom_site_fract_z
La1 0.1285 0.1285 0.0000
La2 0.8715 0.8715 0.0000
Os1 0.5000 0.5000 0.0000
Au1 0.0000 0.5000 0.5000
Au2 0.3229 0.3229 0.0000
Au3 0.5000 0.0000 0.5000
Au4 0.6771 0.6771 0.0000
# SG: I4/mmm
# Fermi-level density of states (states/eV/f.u.): 5.01
# Energy of formation from the pure elements (kcal/mol of atoms): -0.74


# 6
# LaOs2Au | Alexandria via LeMat-Bulk | GGA-PBE | relaxed
data_LaOs2Au
_chemical_formula_sum 'La1 Os2 Au1'
_symmetry_space_group_name_H-M 'P 1'
_symmetry_Int_Tables_number 1
_cell_length_a 2.8995
_cell_length_b 3.7682
_cell_length_c 7.2284
_cell_angle_alpha 90.00
_cell_angle_beta 90.17
_cell_angle_gamma 90.00
loop_
_symmetry_equiv_pos_as_xyz
'x,y,z'
loop_
_atom_site_label
_atom_site_fract_x
_atom_site_fract_y
_atom_site_fract_z
La1 0.0000 0.0000 0.0000
Os1 0.4965 0.5000 0.3084
Os2 0.9978 0.0000 0.4472
Au1 0.4990 0.5000 0.6996
# Distance to the lowest polymorph of the same formula (meV/atom): 180
# SG: Pm
# Fermi-level density of states (states/eV/f.u.): 3.59
# Energy of formation from the pure elements (kcal/mol of atoms): 3.16


# 7
# La7OsAu2 | Alexandria via LeMat-Bulk | GGA-PBE | relaxed
data_La7OsAu2
_chemical_formula_sum 'La14 Os2 Au4'
_symmetry_space_group_name_H-M 'P 1'
_symmetry_Int_Tables_number 1
_cell_length_a 9.0977
_cell_length_b 9.0977
_cell_length_c 10.6031
_cell_angle_alpha 121.53
_cell_angle_beta 121.53
_cell_angle_gamma 58.50
loop_
_symmetry_equiv_pos_as_xyz
'x,y,z'
loop_
_atom_site_label
_atom_site_fract_x
_atom_site_fract_y
_atom_site_fract_z
La1 0.0739 0.9261 0.7500
La2 0.1234 0.5848 0.2058
La3 0.2002 0.4107 0.4899
La4 0.2360 0.6012 0.9095
La5 0.3988 0.7640 0.5905
La6 0.4107 0.2002 0.9899
La7 0.4152 0.8766 0.2942
La8 0.5848 0.1234 0.7058
La9 0.5893 0.7998 0.0101
La10 0.6012 0.2360 0.4095
La11 0.7640 0.3988 0.0905
La12 0.7998 0.5893 0.5101
La13 0.8766 0.4152 0.7942
La14 0.9261 0.0739 0.2500
Os1 0.4980 0.5020 0.2500
Os2 0.5020 0.4980 0.7500
Au1 0.1545 0.1891 0.6149
Au2 0.1891 0.1545 0.1149
Au3 0.8109 0.8455 0.8851
Au4 0.8455 0.8109 0.3851
# SG: C2/c
# Fermi-level density of states (states/eV/f.u.): 12.64
# Energy of formation from the pure elements (kcal/mol of atoms): -7.63


# 8
# LaOs2Au | Alexandria via LeMat-Bulk | GGA-PBE | relaxed
data_LaOs2Au
_chemical_formula_sum 'La1 Os2 Au1'
_symmetry_space_group_name_H-M 'P 1'
_symmetry_Int_Tables_number 1
_cell_length_a 4.7481
_cell_length_b 4.7481
_cell_length_c 4.7481
_cell_angle_alpha 60.00
_cell_angle_beta 60.00
_cell_angle_gamma 60.00
loop_
_symmetry_equiv_pos_as_xyz
'x,y,z'
loop_
_atom_site_label
_atom_site_fract_x
_atom_site_fract_y
_atom_site_fract_z
La1 0.0000 0.0000 0.0000
Os1 0.2500 0.2500 0.2500
Os2 0.7500 0.7500 0.7500
Au1 0.5000 0.5000 0.5000
# Distance to the lowest polymorph of the same formula (meV/atom): 864
# SG: Fm-3m
# Fermi-level density of states (states/eV/f.u.): 7.30
# Energy of formation from the pure elements (kcal/mol of atoms): 18.93


# 9
# LaOs2Au | Alexandria via LeMat-Bulk | GGA-PBE | relaxed
data_LaOs2Au
_chemical_formula_sum 'La1 Os2 Au1'
_symmetry_space_group_name_H-M 'P 1'
_symmetry_Int_Tables_number 1
_cell_length_a 3.0797
_cell_length_b 4.8706
_cell_length_c 5.0137
_cell_angle_alpha 90.00
_cell_angle_beta 90.00
_cell_angle_gamma 90.00
loop_
_symmetry_equiv_pos_as_xyz
'x,y,z'
loop_
_atom_site_label
_atom_site_fract_x
_atom_site_fract_y
_atom_site_fract_z
La1 0.0000 0.0000 0.0000
Os1 0.0000 0.5000 0.5000
Os2 0.5000 0.5000 0.0000
Au1 0.5000 0.0000 0.5000
# Distance to the lowest polymorph of the same formula (meV/atom): 569
# SG: Pmmm
# Fermi-level density of states (states/eV/f.u.): 4.47
# Energy of formation from the pure elements (kcal/mol of atoms): 12.12


# 10
# LaOs2Au | Alexandria via LeMat-Bulk | GGA-PBE | relaxed
data_LaOs2Au
_chemical_formula_sum 'La1 Os2 Au1'
_symmetry_space_group_name_H-M 'P 1'
_symmetry_Int_Tables_number 1
_cell_length_a 4.2063
_cell_length_b 4.2063
_cell_length_c 4.2505
_cell_angle_alpha 90.00
_cell_angle_beta 90.00
_cell_angle_gamma 90.00
loop_
_symmetry_equiv_pos_as_xyz
'x,y,z'
loop_
_atom_site_label
_atom_site_fract_x
_atom_site_fract_y
_atom_site_fract_z
La1 0.0000 0.0000 0.0000
Os1 0.0000 0.5000 0.5000
Os2 0.5000 0.0000 0.5000
Au1 0.5000 0.5000 0.0000
# Distance to the lowest polymorph of the same formula (meV/atom): 517
# SG: P4/mmm
# Fermi-level density of states (states/eV/f.u.): 5.37
# Energy of formation from the pure elements (kcal/mol of atoms): 10.93


# 11
# LaOs2Au | Alexandria via LeMat-Bulk | GGA-PBE | relaxed
data_LaOs2Au
_chemical_formula_sum 'La1 Os2 Au1'
_symmetry_space_group_name_H-M 'P 1'
_symmetry_Int_Tables_number 1
_cell_length_a 5.0142
_cell_length_b 5.0142
_cell_length_c 3.1013
_cell_angle_alpha 90.00
_cell_angle_beta 90.00
_cell_angle_gamma 107.11
loop_
_symmetry_equiv_pos_as_xyz
'x,y,z'
loop_
_atom_site_label
_atom_site_fract_x
_atom_site_fract_y
_atom_site_fract_z
La1 0.0000 0.0000 0.0000
Os1 0.0000 0.5000 0.5000
Os2 0.5000 0.0000 0.5000
Au1 0.5000 0.5000 0.0000
# Distance to the lowest polymorph of the same formula (meV/atom): 685
# SG: Cmmm
# Fermi-level density of states (states/eV/f.u.): 3.30
# Energy of formation from the pure elements (kcal/mol of atoms): 14.79


# 12
# LaOs2Au | Alexandria via LeMat-Bulk | GGA-PBE | relaxed
data_LaOs2Au
_chemical_formula_sum 'La2 Os4 Au2'
_symmetry_space_group_name_H-M 'P 1'
_symmetry_Int_Tables_number 1
_cell_length_a 10.1723
_cell_length_b 10.1723
_cell_length_c 10.1723
_cell_angle_alpha 155.21
_cell_angle_beta 155.21
_cell_angle_gamma 35.34
loop_
_symmetry_equiv_pos_as_xyz
'x,y,z'
loop_
_atom_site_label
_atom_site_fract_x
_atom_site_fract_y
_atom_site_fract_z
La1 0.0000 0.0000 0.0000
La2 0.7500 0.2500 0.5000
Os1 0.2545 0.6250 0.1295
Os2 0.3750 0.5045 0.6295
Os3 0.4955 0.1250 0.8705
Os4 0.8750 0.7455 0.3705
Au1 0.2500 0.7500 0.5000
Au2 0.5000 0.5000 0.0000
# Distance to the lowest polymorph of the same formula (meV/atom): 445
# SG: I-42d
# Fermi-level density of states (states/eV/f.u.): 2.03
# Energy of formation from the pure elements (kcal/mol of atoms): 9.27


# 13
# LaOs4Au | Alexandria via LeMat-Bulk | GGA-PBE | relaxed
data_LaOs4Au
_chemical_formula_sum 'La1 Os4 Au1'
_symmetry_space_group_name_H-M 'P 1'
_symmetry_Int_Tables_number 1
_cell_length_a 5.3612
_cell_length_b 5.3612
_cell_length_c 5.3612
_cell_angle_alpha 60.00
_cell_angle_beta 60.00
_cell_angle_gamma 60.00
loop_
_symmetry_equiv_pos_as_xyz
'x,y,z'
loop_
_atom_site_label
_atom_site_fract_x
_atom_site_fract_y
_atom_site_fract_z
La1 0.0000 0.0000 0.0000
Os1 0.1271 0.6243 0.6243
Os2 0.6243 0.1271 0.6243
Os3 0.6243 0.6243 0.1271
Os4 0.6243 0.6243 0.6243
Au1 0.2500 0.2500 0.2500
# SG: F-43m
# Fermi-level density of states (states/eV/f.u.): 10.57
# Energy of formation from the pure elements (kcal/mol of atoms): 9.49